BeGa3Pt | the Alexandria database | meta-GGA SCAN | single point on PBEsol structure; total energy = -24.457 eV per atom
1.0
4.7581 0.0000 0.0000
0.0000 4.7581 0.0000
0.0000 0.0000 4.7581
Be Ga Pt
1 3 1
Direct
0.0000 0.0000 0.0000 Be
0.0000 0.5000 0.5000 Ga
0.5000 0.0000 0.5000 Ga
0.5000 0.5000 0.0000 Ga
0.5000 0.5000 0.5000 Pt